Computed, not measured: LiHf4 after structural relaxation at the PBE level of DFT.

CIF file:
```
data_LiHf4
_chemical_formula_sum 'Li1 Hf4'
_cell_length_a 4.750
_cell_length_b 4.750
_cell_length_c 4.750
_cell_angle_alpha 90.00
_cell_angle_beta 90.00
_cell_angle_gamma 90.00
_space_group_name_H-M_alt 'P m -3 m'
_space_group_IT_number 221
_space_group_name_Hall '-P 4 2 3'
loop_
_atom_site_label
_atom_site_fract_x
_atom_site_fract_y
_atom_site_fract_z
Li1 0.000 0.000 0.000
Hf1 0.000 0.000 0.500
Hf2 0.500 0.500 0.500
```

## Properties
Fermi-level density of states ... 8.25 states/eV/cell
Crystal system ... cubic
Formation energy ... 800.3 meV per atom